Below is a relaxed structure of ScMoBr2, with properties calculated at the GGA-PBEsol level.

Calculated values
Total magnetization: 1.132 μB per cell
ΔE to the lowest computed polymorph: 166 meV per atom

Structure (extended XYZ):
```
4
Lattice="3.4637 0.0000 0.0000 0.0000 3.4637 0.0000 0.0000 0.0000 7.0646" Properties=species:S:1:pos:R:3 pbc="T T T"
Sc 0.0000 0.0000 0.0000
Mo 1.7318 1.7318 5.7140
Br 0.0000 0.0000 4.2119
Br 1.7318 1.7318 1.3405
```

Below is a relaxed structure of Sr2FeCo, with properties calculated at the GGA-PBEsol level.

Calculated values
Total magnetization: 3.202 μB per cell
Final energy: -4.6680 eV per atom

Structure (extended XYZ):
```
4
Lattice="3.8702 0.0000 0.0000 0.0000 2.2961 5.7143 0.0000 -2.2961 5.7143" Properties=species:S:1:pos:R:3 pbc="T T T"
Sr 0.0000 0.0000 0.0000
Sr 1.9351 0.0000 3.1886
Fe 1.9351 0.0000 6.7761
Co 0.0000 0.0000 7.8708
```